Compound: CaPH4O5F
Source: Alexandria
Functional: meta-GGA SCAN
Structure: single point on PBEsol structure

Values from the calculation:
Calculated total energy: -7.799 eV/atom
Crystal system: triclinic
Space group: No. 2

Cell lengths 5.6884, 5.9125, 8.2184 Å; angles 109.33, 91.72, 113.11 degrees
With the nearest neighbours (Å) after each atom.
Fractional positions:
Ca1 0.0220 0.3260 0.1505  7 O 2.31-2.58
Ca2 0.9780 0.6740 0.8495  7 O 2.31-2.58
P1 0.4491 0.1514 0.8451  3 O 1.51-1.54, 1 F 1.61
P2 0.5509 0.8486 0.1549  3 O 1.51-1.54, 1 F 1.61
H1 0.1092 0.8675 0.3662  1 O 1.00
H2 0.1834 0.2709 0.4729  1 O 0.99
H3 0.1999 0.7769 0.5114  1 O 1.01
H4 0.3834 0.1994 0.3419  1 O 1.01
H5 0.6166 0.8006 0.6581  1 O 1.01
H6 0.8001 0.2231 0.4886  1 O 1.01
H7 0.8166 0.7291 0.5271  1 O 0.99
H8 0.8908 0.1325 0.6338  1 O 1.00
O1 0.0749 0.7099 0.3986  2 H 1.00-1.01
O2 0.2027 0.1888 0.3503  2 H 0.99-1.01
O3 0.2534 0.1454 0.9662  1 P 1.51
O4 0.2665 0.6950 0.0682  1 P 1.52
O5 0.3701 0.8706 0.7094  1 P 1.54, 2 H 1.64-1.67
O6 0.6299 0.1294 0.2906  1 P 1.54, 2 H 1.64-1.67
O7 0.7335 0.3050 0.9318  1 P 1.52
O8 0.7466 0.8546 0.0338  1 P 1.51
O9 0.7973 0.8112 0.6497  2 H 0.99-1.01
O10 0.9251 0.2901 0.6014  2 H 1.00-1.01
F1 0.4177 0.3161 0.7315  1 P 1.61
F2 0.5823 0.6839 0.2685  1 P 1.61